This record from the Open Quantum Materials Database describes a relaxed NaCo3Bi5 crystal. The functional is GGA-PBE.

The uncorrected energy is -4.6746 eV/atom.

The space group is P6/mmm (No. 191) and the conventional cell measures 5.5708, 5.5708 and 8.2847 Å, with angles of 90.00, 90.00 and 120.00 degrees. The inequivalent atoms are Na at (0.0000, 0.0000, 0.0000), Co at (0.0000, 0.5000, 0.5000), Bi at (0.0000, 0.0000, 0.5000) and Bi at (0.3333, 0.6667, 0.2371).


This record from the Open Quantum Materials Database describes a relaxed NaScCoBi crystal. The functional is GGA-PBE.

The uncorrected energy is -4.6026 eV/atom.

The space group is F-43m (No. 216) and the conventional cell measures 6.880, 6.880 and 6.880 Å, with angles of 90.00, 90.00 and 90.00 degrees. The inequivalent atoms are Na at (0.000, 0.000, 0.000), Sc at (0.000, 0.000, 0.500), Co at (0.250, 0.250, 0.750) and Bi at (0.250, 0.250, 0.250).


This record from the Open Quantum Materials Database describes a relaxed NaScCoBi crystal. The functional is GGA-PBE.

The uncorrected energy is -4.7184 eV/atom.

The space group is F-43m (No. 216) and the conventional cell measures 6.647, 6.647 and 6.647 Å, with angles of 90.00, 90.00 and 90.00 degrees. The inequivalent atoms are Na at (0.000, 0.000, 0.000), Sc at (0.250, 0.250, 0.250), Co at (0.000, 0.000, 0.500) and Bi at (0.250, 0.250, 0.750).


This record from the Open Quantum Materials Database describes a relaxed NbCoBi2 crystal. The functional is GGA-PBE.

The uncorrected energy is -5.5113 eV/atom.

The space group is F-43m (No. 216) and the conventional cell measures 7.015, 7.015 and 7.015 Å, with angles of 90.00, 90.00 and 90.00 degrees. The inequivalent atoms are Nb at (0.000, 0.000, 0.000), Co at (0.250, 0.250, 0.250), Bi at (0.000, 0.000, 0.500) and Bi at (0.250, 0.250, 0.750).


This record from the Open Quantum Materials Database describes a relaxed Nb2CoBi crystal. The functional is GGA-PBE.

The uncorrected energy is -7.3742 eV/atom.

The space group is F-43m (No. 216) and the conventional cell measures 6.584, 6.584 and 6.584 Å, with angles of 90.00, 90.00 and 90.00 degrees. The inequivalent atoms are Nb at (0.000, 0.000, 0.000), Nb at (0.250, 0.250, 0.250), Co at (0.250, 0.250, 0.750) and Bi at (0.000, 0.000, 0.500).


This record from the Open Quantum Materials Database describes a relaxed NbCoBiPd crystal. The functional is GGA-PBE.

The uncorrected energy is -6.3868 eV/atom.

The space group is F-43m (No. 216) and the conventional cell measures 6.516, 6.516 and 6.516 Å, with angles of 90.00, 90.00 and 90.00 degrees. The inequivalent atoms are Nb at (0.000, 0.000, 0.000), Co at (0.250, 0.250, 0.750), Bi at (0.000, 0.000, 0.500) and Pd at (0.250, 0.250, 0.250).


This record from the Open Quantum Materials Database describes a relaxed NbCoBiPd crystal. The functional is GGA-PBE.

The uncorrected energy is -6.3484 eV/atom.

The space group is F-43m (No. 216) and the conventional cell measures 6.503, 6.503 and 6.503 Å, with angles of 90.00, 90.00 and 90.00 degrees. The inequivalent atoms are Nb at (0.000, 0.000, 0.000), Co at (0.000, 0.000, 0.500), Bi at (0.250, 0.250, 0.250) and Pd at (0.250, 0.250, 0.750).


This record from the Open Quantum Materials Database describes a relaxed NbCoReBi crystal. The functional is GGA-PBE.

The uncorrected energy is -7.9281 eV/atom.

The space group is F-43m (No. 216) and the conventional cell measures 6.488, 6.488 and 6.488 Å, with angles of 90.00, 90.00 and 90.00 degrees. The inequivalent atoms are Nb at (0.000, 0.000, 0.000), Co at (0.250, 0.250, 0.750), Re at (0.250, 0.250, 0.250) and Bi at (0.000, 0.000, 0.500).